Below is an optimized crystal structure of Li4Ti3V3Fe2O16, with properties calculated at the GGA+U level.

* electronic total energy: -208.4 eV/cell
* spin magnetization: 15.0 μB/cell
* crystal system: triclinic

```
28
Lattice="5.9306 0.0000 0.0000 2.9505 5.1594 0.0000 0.0414 0.0578 9.6478" Properties=species:S:1:pos:R:3 pbc="T T T"
Li 0.0000 0.0000 0.0000
Li 2.9981 5.1003 4.8390
Li 3.0002 1.7592 3.8771
Li 6.0435 3.4459 8.6975
Ti 3.0867 3.3739 7.0259
Ti 4.4063 4.1577 2.0607
Ti 7.3151 4.3700 2.2285
V 1.5868 0.8762 6.9014
V 4.4577 0.8161 6.9108
V 6.0273 1.7507 2.0944
Fe 3.0402 1.7136 9.6237
Fe 5.9603 3.4172 4.8130
O 2.9894 5.1208 7.8600
O 3.0145 5.0930 3.0439
O 1.7463 2.4799 8.1448
O 1.5071 0.7919 1.0186
O 3.0252 3.4341 1.0035
O 4.4711 4.3018 5.8585
O 3.0841 1.7900 5.8525
O 4.3715 2.5051 8.1305
O 3.1381 0.2069 8.1141
O 4.6472 2.7177 3.3024
O 5.9639 4.9958 3.3224
O 5.9927 3.5517 1.0516
O 4.5212 0.8401 1.0524
O 5.9149 1.6493 5.8655
O 7.4662 4.2935 5.8748
O 7.2986 2.7315 3.3340
```